First-principles (PBEsol) data for a geometry-optimized Be2AlRu2 structure, as listed in the Alexandria database.

Results
Crystal system: tetragonal
Energy of formation from the pure elements in eV/atom: -0.53
Energy relative to the lowest polymorph listed for this composition in meV/atom: 0

abc: 6.0149 6.0149 2.9870
angles: 90.00 90.00 90.00
Last column: nearest neighbours and their distance in Å.
Space group P4/mbm (No. 127)
Unique sites:
1 Be 0.1204 0.3796 0.0000 (multiplicity 4)  1 Be 2.05
2 Al 0.0000 0.0000 0.0000 (multiplicity 2)  4 Be 2.40, 8 Ru 2.68
3 Ru 0.1750 0.6750 0.5000 (multiplicity 4)  6 Be 2.29-2.34